No. 1
# Ba2GaCuIr (GGA-PBE, relaxed)
# SG = No. 123
# Total moment = 0.00 μB/f.u.
data_Ba2GaCuIr
_cell_length_a 6.053
_cell_length_b 6.053
_cell_length_c 4.802
_cell_angle_alpha 90.00
_cell_angle_beta 90.00
_cell_angle_gamma 90.00
_space_group_name_H-M_alt 'P 1'
_space_group_IT_number 1
loop_
_space_group_symop_operation_xyz
'x,y,z'
loop_
_atom_site_label
_atom_site_fract_x
_atom_site_fract_y
_atom_site_fract_z
Cu1 0.500 0.500 0.500
Ir1 0.000 0.000 0.000
Ba1 0.000 0.500 0.000
Ba2 0.500 0.000 0.000
Ga1 0.000 0.000 0.500


No. 2
# KBa2GaCu (GGA-PBE, relaxed)
# SG = No. 123
# Total moment = 0.76 μB/f.u.
data_KBa2GaCu
_cell_length_a 6.438
_cell_length_b 6.438
_cell_length_c 4.819
_cell_angle_alpha 90.00
_cell_angle_beta 90.00
_cell_angle_gamma 90.00
_space_group_name_H-M_alt 'P 1'
_space_group_IT_number 1
loop_
_space_group_symop_operation_xyz
'x,y,z'
loop_
_atom_site_label
_atom_site_fract_x
_atom_site_fract_y
_atom_site_fract_z
Ba1 0.000 0.500 0.000
Ga1 0.000 0.000 0.500
Ba2 0.500 0.000 0.000
Cu1 0.000 0.000 0.000
K1 0.500 0.500 0.500


No. 3
# BaLi2GaCu (GGA-PBE, relaxed)
# Energy above the lowest structure with this stoichiometry = 13.5 meV/atom
# SG = No. 123
# Total moment = 0.00 μB/f.u.
data_BaLi2GaCu
_cell_length_a 5.036
_cell_length_b 4.789
_cell_length_c 5.036
_cell_angle_alpha 90.00
_cell_angle_beta 90.00
_cell_angle_gamma 90.00
_space_group_name_H-M_alt 'P 1'
_space_group_IT_number 1
loop_
_space_group_symop_operation_xyz
'x,y,z'
loop_
_atom_site_label
_atom_site_fract_x
_atom_site_fract_y
_atom_site_fract_z
Li1 0.500 0.000 0.000
Cu1 0.000 0.500 0.000
Ba1 0.500 0.500 0.500
Ga1 0.000 0.000 0.000
Li2 0.000 0.000 0.500


| no. | calculated density (g/cm³) | energy relative to the elements (eV/atom) | energy (eV for the cell shown) |
| --- | --- | --- | --- |
| 1 | 5.66 | -0.067 | -20.2 |
| 2 | 3.72 | 0.014 | -12.0 |
| 3 | 3.89 | -0.081 | -13.3 |